## YH12Cl3O6 (PBE)

Data for crystalline YH12Cl3O6 at its relaxed geometry.

Values from the calculation:
DFT total energy	-5.032	eV per atom

Geometry as extended XYZ:
```
44
Lattice="6.632 0.000 0.000 0.000 7.838 0.031 0.000 7.273 9.656" Properties=species:S:1:pos:R:3 pbc="T T T"
Y 5.569 5.455 7.242
Y 1.063 1.818 2.414
H 5.953 10.558 6.066
H 5.953 8.190 8.447
H 0.679 4.553 3.620
H 0.679 6.921 1.239
H 0.501 10.678 7.096
H 0.501 8.070 7.418
H 6.132 4.434 2.590
H 6.132 7.041 2.268
H 3.454 11.233 6.666
H 3.454 7.515 7.848
H 3.178 3.878 3.020
H 3.178 7.597 1.838
H 2.955 4.734 5.977
H 2.955 14.013 8.537
H 3.678 10.377 3.709
H 3.678 1.098 1.149
H 5.019 11.169 9.332
H 5.019 7.579 5.182
H 1.613 3.943 0.355
H 1.613 7.532 4.504
H 2.142 8.840 5.177
H 2.142 9.908 9.337
H 4.491 6.272 4.509
H 4.491 5.203 0.349
Cl 2.354 9.374 7.257
Cl 4.278 5.737 2.429
Cl 1.093 5.653 5.444
Cl 1.093 13.095 9.070
Cl 5.540 9.459 4.242
Cl 5.540 2.016 0.616
O 6.232 11.026 6.896
O 6.232 7.722 7.618
O 0.401 4.085 2.790
O 0.401 7.389 2.068
O 3.774 12.093 6.299
O 3.774 6.655 8.215
O 2.859 3.018 3.388
O 2.859 8.456 1.471
O 4.699 12.082 9.122
O 4.699 6.666 5.392
O 1.934 3.030 0.564
O 1.934 8.445 4.294
```

=====

## PuZr3H (PBE)

Data for crystalline PuZr3H at its relaxed geometry.

Values from the calculation:
DFT total energy	-8.737	eV per atom

Geometry as extended XYZ:
```
5
Lattice="4.572 0.000 0.000 0.000 4.572 0.000 0.000 0.000 4.572" Properties=species:S:1:pos:R:3 pbc="T T T"
H 0.000 0.000 0.000
Zr 0.000 2.286 0.000
Zr 0.000 0.000 2.286
Zr 2.286 0.000 0.000
Pu 2.286 2.286 2.286
```

=====

## IrRuRh2 (PBE)

Data for crystalline IrRuRh2 at its relaxed geometry.

Values from the calculation:
offset from the most stable computed form	0.25	eV/f.u.
energy relative to the elements	0.052	eV per atom

Geometry as extended XYZ:
```
4
Lattice="-8.003 3.715 1.550 -8.583 2.438 -0.795 -8.751 1.087 1.574" Properties=species:S:1:pos:R:3 pbc="T T T"
Ru -12.665 3.619 1.164
Ir -19.033 5.439 1.749
Rh -0.002 0.001 0.000
Rh -6.303 1.801 0.579
```

=====

## RbHPt (PBE)

Data for crystalline RbHPt at its relaxed geometry.

Values from the calculation:
DFT total energy	-3.614	eV per atom

Geometry as extended XYZ:
```
6
Lattice="5.281 -0.526 1.489 0.503 5.379 0.127 1.536 2.468 5.624" Properties=species:S:1:pos:R:3 pbc="T T T"
H 2.699 3.758 3.324
H 4.620 3.564 3.916
Rb 1.275 1.257 1.015
Rb 6.045 6.065 6.225
Pt 3.511 2.238 3.636
Pt 3.808 5.084 3.604
```

=====

## Ac5AgSe8 (PBE)

Data for crystalline Ac5AgSe8 at its relaxed geometry.

Values from the calculation:
DFT total energy	-5.471	eV per atom

Geometry as extended XYZ:
```
14
Lattice="8.101 -0.010 0.017 -2.750 7.620 -0.017 -2.600 -3.858 6.632" Properties=species:S:1:pos:R:3 pbc="T T T"
Ac -1.283 2.392 0.869
Ac 3.961 5.747 1.650
Ac 2.737 2.271 4.197
Ac 2.750 -1.934 3.324
Ac 0.085 -2.906 6.548
Ag -1.300 0.914 4.970
Se -1.000 5.617 0.147
Se 5.706 -1.933 4.828
Se 4.532 0.452 2.377
Se 1.813 -0.378 5.867
Se 1.642 3.634 1.617
Se 0.274 3.415 5.708
Se 0.520 0.405 2.582
Se -2.486 3.796 3.403
```

=====

## Nd2Dy2Rh15 (PBE)

Data for crystalline Nd2Dy2Rh15 at its relaxed geometry.

Values from the calculation:
energy relative to the elements	-0.357	eV per atom

Geometry as extended XYZ:
```
19
Lattice="6.949 0.003 0.003 0.904 6.890 0.003 0.904 0.794 6.844" Properties=species:S:1:pos:R:3 pbc="T T T"
Nd 3.137 2.754 2.454
Nd 5.620 4.932 4.395
Dy 0.956 0.839 0.748
Dy 7.801 6.847 6.101
Rh 3.474 0.001 0.001
Rh 0.452 0.397 3.422
Rh 0.452 3.445 0.001
Rh 0.904 5.025 2.095
Rh 5.100 2.109 0.003
Rh 2.753 0.552 4.751
Rh 2.753 4.783 0.003
Rh 5.100 0.245 2.095
Rh 0.904 2.658 4.751
Rh 2.284 4.995 4.451
Rh 5.249 4.607 1.095
Rh 5.249 1.617 4.451
Rh 6.473 2.691 2.398
Rh 3.508 3.079 5.754
Rh 3.508 6.069 2.398
```